Entry 1:
A plane-wave DFT calculation with PBE-GGA was carried out for NaSn2Ge after structural relaxation.

Computed properties:
- Spin magnetization: 0.00 μB per formula unit

Cell lengths 3.7698, 3.7698, 7.2568 Å; angles 90.00, 90.00, 90.00 degrees
Sites, in units of the cell vectors:
Na 0.5000 0.5000 0.5000
Ge 0.5000 0.5000 0.0000
Sn 0.0000 0.0000 0.7931
Sn 0.0000 0.0000 0.2069

=====

Entry 2:
A plane-wave DFT calculation with PBE-GGA was carried out for NaSn2Ge after structural relaxation.

Computed properties:
- Spin magnetization: 0.00 μB per formula unit

Cell lengths 5.1972, 5.1972, 5.1972 Å; angles 60.00, 60.00, 60.00 degrees
Sites, in units of the cell vectors:
Na 0.0000 0.0000 0.0000
Ge 0.5000 0.5000 0.5000
Sn 0.2500 0.2500 0.2500
Sn 0.7500 0.7500 0.7500

=====

Entry 3:
A plane-wave DFT calculation with PBE-GGA was carried out for Na2SnGe after structural relaxation.

Computed properties:
- Spin magnetization: 0.00 μB per formula unit

Cell lengths 4.8747, 6.3350, 8.2367 Å; angles 73.96, 72.79, 67.37 degrees
Sites, in units of the cell vectors:
Na 0.1997 0.2450 0.3556
Na 0.8177 0.8390 0.5255
Na 0.4371 0.4325 0.6933
Na 0.8173 0.3422 0.0231
Sn 0.1242 0.9846 0.7670
Sn 0.5115 0.6935 0.2836
Ge 0.1266 0.6677 0.0790
Ge 0.5079 0.0120 0.9721

=====

Entry 4:
A plane-wave DFT calculation with PBE-GGA was carried out for Na6Sn3Ge after structural relaxation.

Computed properties:
- Spin magnetization: 0.00 μB per formula unit

Cell lengths 6.0421, 9.3753, 10.2438 Å; angles 96.76, 90.00, 90.00 degrees
Sites, in units of the cell vectors:
Na 0.9506 0.3300 0.0560
Na 0.9301 0.3256 0.4213
Na 0.7184 0.1487 0.7665
Na 0.2816 0.8513 0.2335
Na 0.0699 0.6744 0.5787
Na 0.0494 0.6700 0.9440
Na 0.5494 0.8300 0.5560
Na 0.5699 0.8256 0.9213
Na 0.7816 0.6487 0.2665
Na 0.2184 0.3513 0.7335
Na 0.4301 0.1744 0.0787
Na 0.4506 0.1700 0.4440
Sn 0.2902 0.5008 0.2679
Sn 0.5000 0.5000 0.0000
Sn 0.7098 0.4992 0.7321
Sn 0.2098 0.0008 0.7679
Sn 0.0000 0.0000 0.5000
Sn 0.7902 0.9992 0.2321
Ge 0.5000 0.5000 0.5000
Ge 0.0000 0.0000 0.0000

=====

Entry 5:
A plane-wave DFT calculation with PBE-GGA was carried out for Na3Sn5Ge2 after structural relaxation.

Computed properties:
- Spin magnetization: 0.00 μB per formula unit

Cell lengths 8.0122, 9.8781, 9.8781 Å; angles 57.85, 66.07, 66.07 degrees
Sites, in units of the cell vectors:
Na 0.2500 0.0000 0.0000
Na 0.7500 0.0000 0.0000
Na 0.3553 0.4078 0.8816
Na 0.6447 0.5922 0.1184
Na 0.8553 0.8816 0.4078
Na 0.1447 0.1184 0.5922
Sn 0.2500 0.5000 0.5000
Sn 0.7500 0.5000 0.5000
Sn 0.4975 0.7525 0.7525
Sn 0.0025 0.2475 0.2475
Sn 0.5025 0.2475 0.2475
Sn 0.9975 0.7525 0.7525
Sn 0.1256 0.5112 0.2375
Sn 0.8744 0.4888 0.7625
Sn 0.6256 0.2375 0.5112
Sn 0.3744 0.7625 0.4888
Ge 0.1375 0.7826 0.9424
Ge 0.8625 0.2174 0.0576
Ge 0.6375 0.9424 0.7826
Ge 0.3625 0.0576 0.2174

=====

Entry 6:
A plane-wave DFT calculation with PBE-GGA was carried out for NaSnGe after structural relaxation.

Computed properties:
- Spin magnetization: 0.00 μB per formula unit

Cell lengths 5.1361, 4.3425, 4.3425 Å; angles 120.00, 90.00, 90.00 degrees
Sites, in units of the cell vectors:
Na 0.6445 0.6667 0.3333
Ge 0.2775 0.3333 0.6667
Sn 0.0780 0.0000 0.0000

=====

Entry 7:
A plane-wave DFT calculation with PBE-GGA was carried out for Na16SnGe12 after structural relaxation.

Computed properties:
- Spin magnetization: 0.00 μB per formula unit

Cell lengths 9.4578, 9.4578, 9.6326 Å; angles 108.49, 108.49, 108.31 degrees
Sites, in units of the cell vectors:
Na 0.3482 0.3482 0.3076
Na 0.9955 0.9955 0.9989
Na 0.9824 0.9824 0.6439
Na 0.2962 0.2962 0.7049
Na 0.6685 0.4021 0.0044
Na 0.5929 0.3000 0.6094
Na 0.0147 0.6815 0.4025
Na 0.0075 0.6521 0.0155
Na 0.7036 0.3339 0.3126
Na 0.4031 0.9887 0.6790
Na 0.9887 0.4031 0.6790
Na 0.3339 0.7036 0.3126
Na 0.6521 0.0075 0.0155
Na 0.6815 0.0147 0.4025
Na 0.3000 0.5929 0.6094
Na 0.4021 0.6685 0.0044
Sn 0.6553 0.6553 0.3137
Ge 0.8541 0.8541 0.2038
Ge 0.6611 0.6611 0.8609
Ge 0.3252 0.1445 0.9664
Ge 0.8201 0.6445 0.6626
Ge 0.1970 0.0124 0.3526
Ge 0.3519 0.9948 0.1622
Ge 0.1625 0.8058 0.8159
Ge 0.8058 0.1625 0.8159
Ge 0.9948 0.3519 0.1622
Ge 0.0124 0.1970 0.3526
Ge 0.6445 0.8201 0.6626
Ge 0.1445 0.3252 0.9664

=====

Entry 8:
A plane-wave DFT calculation with PBE-GGA was carried out for NaSnGe after structural relaxation.

Computed properties:
- Spin magnetization: 0.00 μB per formula unit

Cell lengths 4.3676, 5.8086, 7.1248 Å; angles 109.14, 90.00, 90.00 degrees
Sites, in units of the cell vectors:
Na 0.5000 0.2313 0.2649
Na 0.5000 0.7687 0.7351
Sn 0.0000 0.2715 0.6242
Sn 0.0000 0.7285 0.3758
Ge 0.5000 0.3010 0.8613
Ge 0.5000 0.6990 0.1387

=====

Entry 9:
A plane-wave DFT calculation with PBE-GGA was carried out for Na3SnGe after structural relaxation.

Computed properties:
- Spin magnetization: 0.00 μB per formula unit

Cell lengths 5.7330, 5.7330, 5.7330 Å; angles 90.00, 90.00, 90.00 degrees
Sites, in units of the cell vectors:
Na 0.0000 0.5000 0.0000
Na 0.0000 0.0000 0.5000
Na 0.5000 0.0000 0.0000
Ge 0.5000 0.5000 0.5000
Sn 0.0000 0.0000 0.0000

=====

Entry 10:
A plane-wave DFT calculation with PBE-GGA was carried out for NaSn2Ge after structural relaxation.

Computed properties:
- Spin magnetization: 0.00 μB per formula unit

Cell lengths 3.7817, 3.7817, 10.0022 Å; angles 79.10, 79.10, 60.00 degrees
Sites, in units of the cell vectors:
Na 0.0000 0.0000 0.0000
Ge 0.5000 0.5000 0.5000
Sn 0.1044 0.1044 0.6868
Sn 0.8956 0.8956 0.3132

=====

Entry 11:
A plane-wave DFT calculation with PBE-GGA was carried out for Na2SnGe after structural relaxation.

Computed properties:
- Spin magnetization: 0.00 μB per formula unit

Cell lengths 3.7345, 3.7345, 6.8804 Å; angles 90.00, 90.00, 90.00 degrees
Sites, in units of the cell vectors:
Na 0.0000 0.0000 0.7307
Na 0.0000 0.0000 0.2693
Ge 0.5000 0.5000 0.5000
Sn 0.5000 0.5000 0.0000

=====

Entry 12:
A plane-wave DFT calculation with PBE-GGA was carried out for Na2SnGe after structural relaxation.

Computed properties:
- Spin magnetization: 0.00 μB per formula unit

Cell lengths 3.2908, 3.2908, 11.3023 Å; angles 81.63, 81.63, 60.00 degrees
Sites, in units of the cell vectors:
Na 0.0946 0.0946 0.7161
Na 0.9054 0.9054 0.2839
Ge 0.5000 0.5000 0.5000
Sn 0.0000 0.0000 0.0000

=====

The records above yield energy of formation values of -24 59 -63 -124 -36 -33 -98 -50 523 144 15 115 meV per atom, respectively.
The records above yield raw total energy values of -14.04 -13.70 -11.51 -25.78 -33.57 -10.04 -83.35 -10.09 -9.96 -13.37 -11.20 -10.80 eV/f.u., respectively.